# Rb12Hg3Se5 | Alexandria | PBE | optimized geometry
data_Rb12Hg3Se5
_chemical_formula_sum 'Rb48 Hg12 Se20'
_cell_length_a 18.3925
_cell_length_b 18.3925
_cell_length_c 18.3925
_cell_angle_alpha 109.47
_cell_angle_beta 109.47
_cell_angle_gamma 109.47
_symmetry_space_group_name_H-M 'P 1'
_symmetry_Int_Tables_number 1
_symmetry_space_group_name_Hall 'P 1'
loop_
_atom_site_label
_atom_site_type_symbol
_atom_site_fract_x
_atom_site_fract_y
_atom_site_fract_z
_atom_site_occupancy
Hg1 Hg 0.7500 0.3750 0.1250 1
Hg2 Hg 0.8750 0.7500 0.1250 1
Hg3 Hg 0.3750 0.7500 0.6250 1
Hg4 Hg 0.2500 0.1250 0.3750 1
Hg5 Hg 0.8750 0.1250 0.2500 1
Hg6 Hg 0.3750 0.6250 0.2500 1
Hg7 Hg 0.6250 0.3750 0.7500 1
Hg8 Hg 0.1250 0.8750 0.7500 1
Hg9 Hg 0.7500 0.8750 0.6250 1
Hg10 Hg 0.6250 0.2500 0.3750 1
Hg11 Hg 0.1250 0.2500 0.8750 1
Hg12 Hg 0.2500 0.6250 0.8750 1
Se1 Se 0.1250 0.3750 0.2500 1
Se2 Se 0.0000 0.5000 0.0000 1
Se3 Se 0.0000 0.0000 0.0000 1
Se4 Se 0.3750 0.2500 0.1250 1
Se5 Se 0.5000 0.0000 0.5000 1
Se6 Se 0.5000 0.5000 0.0000 1
Se7 Se 0.1250 0.7500 0.3750 1
Se8 Se 0.7500 0.1250 0.8750 1
Se9 Se 0.7500 0.6250 0.3750 1
Se10 Se 0.3750 0.1250 0.7500 1
Se11 Se 0.6250 0.8750 0.2500 1
Se12 Se 0.5000 0.5000 0.5000 1
Se13 Se 0.5000 0.0000 0.0000 1
Se14 Se 0.0000 0.0000 0.5000 1
Se15 Se 0.2500 0.3750 0.6250 1
Se16 Se 0.2500 0.8750 0.1250 1
Se17 Se 0.0000 0.5000 0.5000 1
Se18 Se 0.8750 0.2500 0.6250 1
Se19 Se 0.6250 0.7500 0.8750 1
Se20 Se 0.8750 0.6250 0.7500 1
Rb1 Rb 0.6998 0.1075 0.0222 1
Rb2 Rb 0.3224 0.5222 0.4148 1
Rb3 Rb 0.9778 0.3925 0.3002 1
Rb4 Rb 0.5222 0.1998 0.1075 1
Rb5 Rb 0.5924 0.6998 0.6776 1
Rb6 Rb 0.9778 0.5852 0.1776 1
Rb7 Rb 0.3224 0.8002 0.4076 1
Rb8 Rb 0.0852 0.9076 0.1075 1
Rb9 Rb 0.5852 0.9778 0.6776 1
Rb10 Rb 0.6998 0.5924 0.1776 1
Rb11 Rb 0.8002 0.4778 0.3925 1
Rb12 Rb 0.8224 0.9148 0.0222 1
Rb13 Rb 0.1075 0.6998 0.5222 1
Rb14 Rb 0.3925 0.4148 0.0924 1
Rb15 Rb 0.0924 0.9148 0.3925 1
Rb16 Rb 0.4076 0.1075 0.5852 1
Rb17 Rb 0.0924 0.1776 0.1998 1
Rb18 Rb 0.4778 0.6776 0.0852 1
Rb19 Rb 0.8224 0.9076 0.3002 1
Rb20 Rb 0.1075 0.4076 0.0852 1
Rb21 Rb 0.3925 0.9778 0.8002 1
Rb22 Rb 0.5852 0.6075 0.4076 1
Rb23 Rb 0.9148 0.8224 0.5222 1
Rb24 Rb 0.8002 0.3224 0.9076 1
Rb25 Rb 0.4148 0.3925 0.5924 1
Rb26 Rb 0.0852 0.1776 0.4778 1
Rb27 Rb 0.1998 0.6776 0.0924 1
Rb28 Rb 0.1776 0.0924 0.6998 1
Rb29 Rb 0.6075 0.0222 0.1998 1
Rb30 Rb 0.8925 0.5924 0.9148 1
Rb31 Rb 0.5222 0.3224 0.9148 1
Rb32 Rb 0.5924 0.8925 0.4148 1
Rb33 Rb 0.9076 0.8224 0.8002 1
Rb34 Rb 0.9076 0.0852 0.6075 1
Rb35 Rb 0.8925 0.3002 0.4778 1
Rb36 Rb 0.1776 0.0852 0.9778 1
Rb37 Rb 0.6075 0.5852 0.9076 1
Rb38 Rb 0.4148 0.0222 0.3224 1
Rb39 Rb 0.3002 0.4076 0.8224 1
Rb40 Rb 0.1998 0.5222 0.6075 1
Rb41 Rb 0.9148 0.0924 0.8925 1
Rb42 Rb 0.6776 0.1998 0.5924 1
Rb43 Rb 0.4778 0.8002 0.8925 1
Rb44 Rb 0.0222 0.4148 0.8224 1
Rb45 Rb 0.4076 0.3002 0.3224 1
Rb46 Rb 0.0222 0.6075 0.6998 1
Rb47 Rb 0.6776 0.4778 0.5852 1
Rb48 Rb 0.3002 0.8925 0.9778 1
# Final energy: -2.135 eV per atom
# Total magnetization: 0.00 μB per formula unit
# Formation energy without anion corrections: -0.6379 eV/atom